No. 1
Below is a relaxed PmTmTe crystal, with properties calculated at the GGA-PBE level.

spin magnetization: 3.3 μB/cell
symmetry: F-43m, No. 216
total energy: -4.61 eV per atom

a = 7.204 Å, b = 7.204 Å, c = 7.204 Å
α = 90.00°, β = 90.00°, γ = 90.00°
Sites, in units of the cell vectors:
Pm 0.000 0.000 0.000
Pm 0.000 0.500 0.500
Pm 0.500 0.000 0.500
Pm 0.500 0.500 0.000
Tm 0.000 0.000 0.500
Tm 0.000 0.500 0.000
Tm 0.500 0.000 0.000
Tm 0.500 0.500 0.500
Te 0.250 0.250 0.250
Te 0.250 0.750 0.750
Te 0.750 0.250 0.750
Te 0.750 0.750 0.250

No. 2
Below is a relaxed PmZnTe crystal, with properties calculated at the GGA-PBE level.

spin magnetization: 0.0 μB/cell
symmetry: F-43m, No. 216
total energy: -3.45 eV per atom

a = 6.961 Å, b = 6.961 Å, c = 6.961 Å
α = 90.00°, β = 90.00°, γ = 90.00°
Sites, in units of the cell vectors:
Pm 0.000 0.000 0.000
Pm 0.000 0.500 0.500
Pm 0.500 0.000 0.500
Pm 0.500 0.500 0.000
Zn 0.250 0.250 0.250
Zn 0.250 0.750 0.750
Zn 0.750 0.250 0.750
Zn 0.750 0.750 0.250
Te 0.000 0.000 0.500
Te 0.000 0.500 0.000
Te 0.500 0.000 0.000
Te 0.500 0.500 0.500

No. 3
Below is a relaxed PmZnTe crystal, with properties calculated at the GGA-PBE level.

spin magnetization: 0.1 μB/cell
symmetry: F-43m, No. 216
total energy: -3.52 eV per atom

a = 7.227 Å, b = 7.227 Å, c = 7.227 Å
α = 90.00°, β = 90.00°, γ = 90.00°
Sites, in units of the cell vectors:
Pm 0.000 0.000 0.000
Pm 0.000 0.500 0.500
Pm 0.500 0.000 0.500
Pm 0.500 0.500 0.000
Zn 0.250 0.250 0.250
Zn 0.250 0.750 0.750
Zn 0.750 0.250 0.750
Zn 0.750 0.750 0.250
Te 0.250 0.250 0.750
Te 0.250 0.750 0.250
Te 0.750 0.250 0.250
Te 0.750 0.750 0.750

No. 4
Below is a relaxed PmZrTe crystal, with properties calculated at the GGA-PBE level.

spin magnetization: 0.0 μB/cell
symmetry: F-43m, No. 216
total energy: -5.81 eV per atom

a = 7.031 Å, b = 7.031 Å, c = 7.031 Å
α = 90.00°, β = 90.00°, γ = 90.00°
Sites, in units of the cell vectors:
Pm 0.000 0.000 0.000
Pm 0.000 0.500 0.500
Pm 0.500 0.000 0.500
Pm 0.500 0.500 0.000
Zr 0.000 0.000 0.500
Zr 0.000 0.500 0.000
Zr 0.500 0.000 0.000
Zr 0.500 0.500 0.500
Te 0.250 0.250 0.250
Te 0.250 0.750 0.750
Te 0.750 0.250 0.750
Te 0.750 0.750 0.250

No. 5
Below is a relaxed PmZrTe crystal, with properties calculated at the GGA-PBE level.

spin magnetization: 13.9 μB/cell
symmetry: F-43m, No. 216
total energy: -5.11 eV per atom

a = 7.375 Å, b = 7.375 Å, c = 7.375 Å
α = 90.00°, β = 90.00°, γ = 90.00°
Sites, in units of the cell vectors:
Pm 0.000 0.000 0.000
Pm 0.000 0.500 0.500
Pm 0.500 0.000 0.500
Pm 0.500 0.500 0.000
Zr 0.250 0.250 0.250
Zr 0.250 0.750 0.750
Zr 0.750 0.250 0.750
Zr 0.750 0.750 0.250
Te 0.250 0.250 0.750
Te 0.250 0.750 0.250
Te 0.750 0.250 0.250
Te 0.750 0.750 0.750

No. 6
Below is a relaxed PmTh crystal, with properties calculated at the GGA-PBE level.

spin magnetization: 0.1 μB/cell
symmetry: F-43m, No. 216
formation energy from the elements: 1.854 eV per atom
total energy: -4.23 eV per atom

a = 6.797 Å, b = 6.797 Å, c = 6.797 Å
α = 90.00°, β = 90.00°, γ = 90.00°
Sites, in units of the cell vectors:
Pm 0.000 0.000 0.000
Pm 0.000 0.500 0.500
Pm 0.500 0.000 0.500
Pm 0.500 0.500 0.000
Th 0.250 0.250 0.750
Th 0.250 0.750 0.250
Th 0.750 0.250 0.250
Th 0.750 0.750 0.750

No. 7
Below is a relaxed PmTh crystal, with properties calculated at the GGA-PBE level.

spin magnetization: 0.0 μB/cell
symmetry: P-6m2, No. 187
formation energy from the elements: 0.069 eV per atom
total energy: -6.01 eV per atom

a = 3.584 Å, b = 3.584 Å, c = 5.996 Å
α = 90.00°, β = 90.00°, γ = 120.00°
Sites, in units of the cell vectors:
Pm 0.000 0.000 0.000
Th 0.667 0.333 0.500

No. 8
Below is a relaxed PmTh crystal, with properties calculated at the GGA-PBE level.

spin magnetization: 0.0 μB/cell
symmetry: Fm-3m, No. 225
formation energy from the elements: 0.865 eV per atom
total energy: -5.21 eV per atom

a = 6.541 Å, b = 6.541 Å, c = 6.541 Å
α = 90.00°, β = 90.00°, γ = 90.00°
Sites, in units of the cell vectors:
Pm 0.000 0.000 0.000
Pm 0.000 0.500 0.500
Pm 0.500 0.000 0.500
Pm 0.500 0.500 0.000
Th 0.000 0.000 0.500
Th 0.000 0.500 0.000
Th 0.500 0.000 0.000
Th 0.500 0.500 0.500

No. 9
Below is a relaxed PmTmTh crystal, with properties calculated at the GGA-PBE level.

spin magnetization: 0.1 μB/cell
symmetry: F-43m, No. 216
formation energy from the elements: 0.769 eV per atom
total energy: -4.77 eV per atom

a = 7.653 Å, b = 7.653 Å, c = 7.653 Å
α = 90.00°, β = 90.00°, γ = 90.00°
Sites, in units of the cell vectors:
Pm 0.000 0.000 0.000
Pm 0.000 0.500 0.500
Pm 0.500 0.000 0.500
Pm 0.500 0.500 0.000
Tm 0.250 0.250 0.250
Tm 0.250 0.750 0.750
Tm 0.750 0.250 0.750
Tm 0.750 0.750 0.250
Th 0.000 0.000 0.500
Th 0.000 0.500 0.000
Th 0.500 0.000 0.000
Th 0.500 0.500 0.500

No. 10
Below is a relaxed PmThW crystal, with properties calculated at the GGA-PBE level.

spin magnetization: 0.0 μB/cell
symmetry: F-43m, No. 216
formation energy from the elements: 0.582 eV per atom
total energy: -7.79 eV per atom

a = 7.026 Å, b = 7.026 Å, c = 7.026 Å
α = 90.00°, β = 90.00°, γ = 90.00°
Sites, in units of the cell vectors:
Pm 0.000 0.000 0.000
Pm 0.000 0.500 0.500
Pm 0.500 0.000 0.500
Pm 0.500 0.500 0.000
Th 0.000 0.000 0.500
Th 0.000 0.500 0.000
Th 0.500 0.000 0.000
Th 0.500 0.500 0.500
W 0.250 0.250 0.250
W 0.250 0.750 0.750
W 0.750 0.250 0.750
W 0.750 0.750 0.250

No. 11
Below is a relaxed PmThZn crystal, with properties calculated at the GGA-PBE level.

spin magnetization: 0.2 μB/cell
symmetry: F-43m, No. 216
formation energy from the elements: 0.124 eV per atom
total energy: -4.35 eV per atom

a = 7.099 Å, b = 7.099 Å, c = 7.099 Å
α = 90.00°, β = 90.00°, γ = 90.00°
Sites, in units of the cell vectors:
Pm 0.000 0.000 0.000
Pm 0.000 0.500 0.500
Pm 0.500 0.000 0.500
Pm 0.500 0.500 0.000
Th 0.000 0.000 0.500
Th 0.000 0.500 0.000
Th 0.500 0.000 0.000
Th 0.500 0.500 0.500
Zn 0.250 0.250 0.250
Zn 0.250 0.750 0.750
Zn 0.750 0.250 0.750
Zn 0.750 0.750 0.250

No. 12
Below is a relaxed PmTl2 crystal, with properties calculated at the GGA-PBE level.

spin magnetization: 0.0 μB/cell
symmetry: Fd-3m, No. 227
total energy: -3.29 eV per atom

a = 6.182 Å, b = 6.182 Å, c = 6.182 Å
α = 60.00°, β = 60.00°, γ = 60.00°
Sites, in units of the cell vectors:
Pm 0.125 0.125 0.125
Pm 0.875 0.875 0.875
Tl 0.000 0.500 0.500
Tl 0.500 0.000 0.500
Tl 0.500 0.500 0.000
Tl 0.500 0.500 0.500

- What is the formula in the tenth record?
  PmThW

- spin magnetization of number 8 (PmTh)?
  0.0 μB/cell